PBE-GGA CePm8Dy2, optimized geometry; crystal system = monoclinic; formation energy = 0.42 eV per formula unit; V = 369.7 Å³ per cell; spin magnetization = 0.09 μB/atom
1.0
4.951 0.000 -1.318
-0.531 7.830 -1.993
-0.099 -0.077 9.584
Ce Pm Dy
1 8 2
Direct
0.500 0.000 0.000 Ce
0.591 0.454 0.183 Pm
0.319 0.090 0.639 Pm
0.136 0.183 0.272 Pm
0.045 0.732 0.091 Pm
0.864 0.817 0.728 Pm
0.681 0.910 0.361 Pm
0.409 0.546 0.817 Pm
0.955 0.268 0.909 Pm
0.228 0.636 0.456 Dy
0.772 0.364 0.544 Dy


PBE-GGA CePm3Dy2, optimized geometry; crystal system = monoclinic; formation energy = 0.19 eV per formula unit; V = 393.3 Å³ per cell; spin magnetization = 0.14 μB/atom
1.0
-5.624 4.099 -1.781
-9.045 -0.363 5.907
-8.721 6.717 6.838
Ce Pm Dy
2 6 4
Direct
0.000 0.251 0.749 Ce
0.000 0.749 0.251 Ce
0.501 0.751 0.249 Pm
0.499 0.249 0.751 Pm
0.833 0.246 0.084 Pm
0.166 0.253 0.417 Pm
0.834 0.747 0.583 Pm
0.167 0.754 0.916 Pm
0.334 0.750 0.583 Dy
0.334 0.251 0.082 Dy
0.666 0.749 0.918 Dy
0.666 0.250 0.417 Dy


PBE-GGA CePm6Dy12, optimized geometry; crystal system = trigonal; formation energy = 4.05 eV per formula unit; V = 638.4 Å³ per cell; spin magnetization = 0.03 μB/atom
1.0
8.647 -0.187 -1.217
-1.375 8.539 -1.217
-0.162 -0.187 8.731
Ce Pm Dy
1 6 12
Direct
0.000 0.000 0.000 Ce
0.902 0.341 0.902 Pm
0.902 0.902 0.341 Pm
0.341 0.902 0.902 Pm
0.098 0.098 0.659 Pm
0.098 0.659 0.098 Pm
0.659 0.098 0.098 Pm
0.756 0.244 0.500 Dy
0.353 0.080 0.353 Dy
0.353 0.353 0.080 Dy
0.920 0.647 0.647 Dy
0.647 0.647 0.920 Dy
0.647 0.920 0.647 Dy
0.500 0.756 0.244 Dy
0.244 0.500 0.756 Dy
0.244 0.756 0.500 Dy
0.500 0.244 0.756 Dy
0.756 0.500 0.244 Dy
0.080 0.353 0.353 Dy


PBE-GGA CePmDy, optimized geometry; crystal system = monoclinic; formation energy = 0.44 eV per formula unit; ΔE to the lowest computed polymorph = 0.28 eV/f.u.; V = 193.6 Å³ per cell; spin magnetization = 0.22 μB/atom
1.0
5.795 1.735 -1.894
1.707 5.804 -1.894
-5.999 -6.028 9.342
Ce Pm Dy
2 2 2
Direct
0.381 0.381 0.810 Ce
0.619 0.619 0.190 Ce
0.689 0.689 0.786 Pm
0.311 0.311 0.214 Pm
0.948 0.948 0.701 Dy
0.052 0.052 0.299 Dy


PBE-GGA CePm7Dy12, optimized geometry; crystal system = trigonal; formation energy = 4.76 eV per formula unit; V = 662.0 Å³ per cell; spin magnetization = 0.00 μB/atom
1.0
8.517 1.026 1.540
-1.383 8.466 1.540
-1.383 -1.840 8.406
Ce Pm Dy
1 7 12
Direct
0.000 0.000 0.000 Ce
0.963 0.671 0.061 Pm
0.329 0.939 0.037 Pm
0.939 0.037 0.329 Pm
0.500 0.500 0.500 Pm
0.061 0.963 0.671 Pm
0.671 0.061 0.963 Pm
0.037 0.329 0.939 Pm
0.776 0.237 0.630 Dy
0.763 0.370 0.224 Dy
0.453 0.125 0.359 Dy
0.875 0.641 0.547 Dy
0.370 0.224 0.763 Dy
0.641 0.547 0.875 Dy
0.359 0.453 0.125 Dy
0.630 0.776 0.237 Dy
0.125 0.359 0.453 Dy
0.547 0.875 0.641 Dy
0.237 0.630 0.776 Dy
0.224 0.763 0.370 Dy


PBE-GGA CePm3Dy, optimized geometry; crystal system = triclinic; formation energy = 0.39 eV per formula unit; V = 656.1 Å³ per cell; spin magnetization = 0.10 μB/atom
1.0
6.622 1.419 -0.700
1.676 10.014 6.111
-0.487 2.475 11.994
Ce Pm Dy
4 12 4
Direct
0.822 0.459 0.006 Ce
0.531 0.278 0.280 Ce
0.178 0.541 0.994 Ce
0.469 0.722 0.720 Ce
0.612 0.636 0.120 Pm
0.882 0.055 0.211 Pm
0.388 0.364 0.880 Pm
0.118 0.945 0.789 Pm
0.858 0.395 0.777 Pm
0.625 0.948 0.726 Pm
0.142 0.605 0.223 Pm
0.375 0.052 0.274 Pm
0.320 0.660 0.471 Pm
0.086 0.205 0.409 Pm
0.680 0.340 0.529 Pm
0.914 0.795 0.591 Pm
0.270 0.973 0.053 Dy
0.730 0.027 0.947 Dy
0.219 0.294 0.637 Dy
0.781 0.706 0.363 Dy


Question: What is the formula in the third record?
Answer: CePm6Dy12


Question: Look up the spin magnetization of the second one.
Answer: 0.14 μB/atom


Question: formation energy of number 2 (CePm3Dy2)?
Answer: 0.19 eV per formula unit